Record 1
The following is a DFT calculation (SCAN) of RbW3F at its PBEsol-relaxed geometry.

Cell and atoms, written as POSCAR:
```
RbW3F
1.0
4.448 0.000 0.000
0.000 4.448 0.000
0.000 0.000 4.448
Rb W F
1 3 1
Cartesian
0.000 0.000 0.000
0.000 2.224 2.224
2.224 0.000 2.224
2.224 2.224 0.000
2.224 2.224 2.224
```

formation energy (no corrections): 2.30 eV/atom
final energy: -44.3702 eV per atom
DOS(E_F): 4.34 states/eV/f.u.
crystal system: cubic
size of the total moment: 0.00 μB/cell
SG: Pm-3m (221)

***

Record 2
The following is a DFT calculation (SCAN) of ZrCdAg2 at its PBEsol-relaxed geometry.

Cell and atoms, written as POSCAR:
```
ZrCdAg2
1.0
6.643 0.000 0.000
0.000 6.643 0.000
0.000 0.000 6.643
Zr Cd Ag
4 4 8
Cartesian
0.000 0.000 0.000
0.000 3.321 3.321
3.321 0.000 3.321
3.321 3.321 0.000
0.000 0.000 3.321
0.000 3.321 0.000
3.321 0.000 0.000
3.321 3.321 3.321
1.661 1.661 1.661
1.661 1.661 4.982
1.661 4.982 1.661
1.661 4.982 4.982
4.982 1.661 1.661
4.982 1.661 4.982
4.982 4.982 1.661
4.982 4.982 4.982
```

final energy: -31.0977 eV per atom
energy of formation: -0.136 eV/atom
DOS(E_F): 1.60 states/eV/f.u.
crystal system: cubic
size of the total moment: 0.00 μB/cell
SG: Fm-3m (225)

***

Record 3
The following is a DFT calculation (SCAN) of TaTe2AsN at its PBEsol-relaxed geometry.

Cell and atoms, written as POSCAR:
```
TaTe2AsN
1.0
5.385 0.000 0.000
0.000 5.385 0.000
0.000 0.000 3.546
Ta Te As N
1 2 1 1
Cartesian
0.000 0.000 0.000
0.000 2.693 1.773
2.693 0.000 1.773
2.693 2.693 1.773
2.693 2.693 0.000
```

formation energy (no corrections): 1.14 eV/atom
final energy: -32.9764 eV per atom
DOS(E_F): 3.44 states/eV/f.u.
crystal system: tetragonal
size of the total moment: 2.49 μB/cell
SG: P4/mmm (123)

***

Record 4
The following is a DFT calculation (SCAN) of NiTeCl at its PBEsol-relaxed geometry.

Cell and atoms, written as POSCAR:
```
NiTeCl
1.0
3.435 0.000 0.000
-1.718 2.975 0.000
0.000 0.000 6.151
Ni Te Cl
1 1 1
Cartesian
0.000 0.000 0.000
0.000 1.983 4.585
1.718 0.992 1.288
```

formation energy (no corrections): -0.48 eV/atom
final energy: -20.9510 eV per atom
DOS(E_F): 1.28 states/eV/f.u.
crystal system: trigonal
size of the total moment: 1.00 μB/cell
SG: P3m1 (156)